No. 1
The following is a DFT calculation (PBE-GGA) of a relaxed Tb4PtAuSe2 crystal.

Unit cell a=4.023 b=7.561 c=6.997 alpha=72.18 beta=90.00 gamma=90.00
Fractional positions:
Tb: 0.000 0.737 0.761
Tb: 0.000 0.263 0.239
Tb: 0.500 0.743 0.244
Tb: 0.500 0.257 0.756
Pt: 0.500 0.500 0.000
Au: 0.000 0.500 0.500
Se: 0.000 0.000 0.000
Se: 0.500 0.000 0.500

Properties
Magnetization: 0.000 μB per cell
Crystal system: monoclinic
Uncorrected formation energy: -1373 meV/atom



No. 2
The following is a DFT calculation (PBE-GGA) of a relaxed Th4PtAuSe2 crystal.

Unit cell a=4.194 b=7.550 c=7.364 alpha=71.33 beta=90.00 gamma=90.00
Fractional positions:
Th: 0.000 0.735 0.763
Th: 0.000 0.265 0.237
Th: 0.500 0.746 0.244
Th: 0.500 0.254 0.756
Pt: 0.500 0.500 0.000
Au: 0.000 0.500 0.500
Se: 0.000 0.000 0.000
Se: 0.500 0.000 0.500

Properties
Magnetization: 0.000 μB per cell
Crystal system: monoclinic
Uncorrected formation energy: -1177 meV/atom



No. 3
The following is a DFT calculation (PBE-GGA) of a relaxed YPt2AuSe crystal.

Unit cell a=4.756 b=4.756 c=4.958 alpha=90.00 beta=90.00 gamma=90.00
Fractional positions:
Y: 0.500 0.500 0.500
Au: 0.000 0.000 0.500
Se: 0.000 0.000 0.000
Pt: 0.000 0.500 0.000
Pt: 0.500 0.000 0.000

Properties
Magnetization: 0.000 μB per cell
Crystal system: tetragonal
Uncorrected formation energy: -85 meV/atom



No. 4
The following is a DFT calculation (PBE-GGA) of a relaxed Y4PtAuSe2 crystal.

Unit cell a=4.013 b=7.539 c=6.979 alpha=72.14 beta=90.00 gamma=90.00
Fractional positions:
Y: 0.000 0.738 0.760
Y: 0.000 0.262 0.240
Y: 0.500 0.745 0.244
Y: 0.500 0.255 0.756
Pt: 0.500 0.500 0.000
Au: 0.000 0.500 0.500
Se: 0.000 0.000 0.000
Se: 0.500 0.000 0.500

Properties
Magnetization: 0.000 μB per cell
Crystal system: monoclinic
Uncorrected formation energy: -1371 meV/atom



No. 5
The following is a DFT calculation (PBE-GGA) of a relaxed Y2PtAuSe crystal.

Unit cell a=5.389 b=4.922 c=5.389 alpha=90.00 beta=90.00 gamma=90.00
Fractional positions:
Y: 0.000 0.000 0.500
Y: 0.500 0.000 0.000
Au: 0.500 0.500 0.500
Se: 0.000 0.500 0.000
Pt: 0.000 0.000 0.000

Properties
Magnetization: 0.000 μB per cell
Crystal system: tetragonal
Uncorrected formation energy: -355 meV/atom



No. 6
The following is a DFT calculation (PBE-GGA) of a relaxed ZrPtAuSe2 crystal.

Unit cell a=4.858 b=5.052 c=4.858 alpha=90.00 beta=90.00 gamma=90.00
Fractional positions:
Se: 0.000 0.000 0.500
Se: 0.500 0.000 0.000
Au: 0.000 0.500 0.000
Zr: 0.500 0.500 0.500
Pt: 0.000 0.000 0.000

Properties
Magnetization: 0.473 μB per cell
Crystal system: tetragonal
Uncorrected formation energy: 316 meV/atom



| no. | Fermi-level density of states (states/eV/atom) |
| --- | --- |
| 1 | 0.680 |
| 2 | 0.924 |
| 3 | 0.719 |
| 4 | 0.677 |
| 5 | 0.717 |
| 6 | 0.789 |